The following is a DFT calculation (PBEsol) of a relaxed structure of MgNbRh2.

Structure (CIF):
```
data_MgNbRh2
_chemical_formula_sum 'Mg1 Nb1 Rh2'
_cell_length_a 4.410
_cell_length_b 4.410
_cell_length_c 4.410
_cell_angle_alpha 60.00
_cell_angle_beta 60.00
_cell_angle_gamma 60.00
_symmetry_space_group_name_H-M 'P 1'
_symmetry_Int_Tables_number 1
loop_
_symmetry_equiv_pos_as_xyz
'x,y,z'
loop_
_atom_site_label
_atom_site_type_symbol
_atom_site_fract_x
_atom_site_fract_y
_atom_site_fract_z
_atom_site_occupancy
Nb1 Nb 0.500 0.500 0.500 1
Rh1 Rh 0.250 0.250 0.250 1
Mg1 Mg 0.000 0.000 0.000 1
Rh2 Rh 0.750 0.750 0.750 1
```

Summary:
electronic total energy	-30.614	eV/cell
space-group type	No. 225
calculated formation energy	-450	meV per atom

The following is a DFT calculation (PBEsol) of a relaxed structure of Li4NbFe3O8.

Structure (CIF):
```
data_Li4NbFe3O8
_chemical_formula_sum 'Li4 Nb1 Fe3 O8'
_cell_length_a 5.865
_cell_length_b 5.865
_cell_length_c 5.865
_cell_angle_alpha 57.07
_cell_angle_beta 57.07
_cell_angle_gamma 57.05
_symmetry_space_group_name_H-M 'P 1'
_symmetry_Int_Tables_number 1
loop_
_symmetry_equiv_pos_as_xyz
'x,y,z'
loop_
_atom_site_label
_atom_site_type_symbol
_atom_site_fract_x
_atom_site_fract_y
_atom_site_fract_z
_atom_site_occupancy
Fe1 Fe 0.500 0.000 0.000 1
O1 O 0.253 0.734 0.753 1
Nb1 Nb 0.000 0.000 0.500 1
Li1 Li 0.000 0.500 0.500 1
Li2 Li 0.500 0.500 0.000 1
O2 O 0.739 0.739 0.239 1
O3 O 0.253 0.253 0.235 1
O4 O 0.261 0.261 0.761 1
O5 O 0.266 0.747 0.247 1
Fe2 Fe 0.500 0.500 0.500 1
O6 O 0.734 0.253 0.753 1
O7 O 0.747 0.747 0.765 1
O8 O 0.747 0.266 0.247 1
Li3 Li 0.500 0.000 0.500 1
Li4 Li 0.000 0.000 0.000 1
Fe3 Fe 0.000 0.500 0.000 1
```

Summary:
electronic total energy	-115.672	eV/cell
formation energy from raw total energies	-1756	meV per atom
space-group type	No. 166

The following is a DFT calculation (PBEsol) of a relaxed structure of Cr5Bi6Se16.

Structure (CIF):
```
data_Cr5Bi6Se16
_chemical_formula_sum 'Cr5 Bi6 Se16'
_cell_length_a 6.096
_cell_length_b 9.416
_cell_length_c 11.455
_cell_angle_alpha 88.29
_cell_angle_beta 84.70
_cell_angle_gamma 71.11
_symmetry_space_group_name_H-M 'P 1'
_symmetry_Int_Tables_number 1
loop_
_symmetry_equiv_pos_as_xyz
'x,y,z'
loop_
_atom_site_label
_atom_site_type_symbol
_atom_site_fract_x
_atom_site_fract_y
_atom_site_fract_z
_atom_site_occupancy
Se1 Se 0.312 0.595 0.639 1
Se2 Se 0.090 0.000 0.630 1
Se3 Se 0.681 0.598 0.395 1
Bi1 Bi 0.513 0.668 0.864 1
Se4 Se 0.279 0.402 0.395 1
Bi2 Bi 0.900 0.666 0.163 1
Cr1 Cr 0.596 0.396 0.517 1
Bi3 Bi 0.828 0.000 0.862 1
Se5 Se 0.972 0.666 0.910 1
Cr2 Cr 0.992 0.604 0.517 1
Se6 Se 0.067 0.805 0.386 1
Se7 Se 0.495 0.200 0.637 1
Cr3 Cr 0.776 0.000 0.508 1
Se8 Se 0.907 0.405 0.639 1
Bi4 Bi 0.566 0.334 0.163 1
Cr4 Cr 0.181 0.203 0.512 1
Se9 Se 0.438 0.667 0.118 1
Bi5 Bi 0.206 0.000 0.166 1
Cr5 Cr 0.384 0.797 0.512 1
Se10 Se 0.695 0.800 0.637 1
Se11 Se 0.105 0.333 0.118 1
Se12 Se 0.754 0.000 0.114 1
Se13 Se 0.460 0.000 0.389 1
Se14 Se 0.639 0.334 0.910 1
Se15 Se 0.289 0.000 0.911 1
Bi6 Bi 0.181 0.332 0.864 1
Se16 Se 0.871 0.195 0.386 1
```

Summary:
electronic total energy	-148.969	eV/cell
formation energy from raw total energies	-387	meV per atom
space-group type	No. 8

The following is a DFT calculation (PBEsol) of a relaxed structure of Li2CaCd.

Structure (CIF):
```
data_Li2CaCd
_chemical_formula_sum 'Li4 Ca2 Cd2'
_cell_length_a 4.387
_cell_length_b 4.387
_cell_length_c 11.015
_cell_angle_alpha 101.49
_cell_angle_beta 101.49
_cell_angle_gamma 90.00
_symmetry_space_group_name_H-M 'P 1'
_symmetry_Int_Tables_number 1
loop_
_symmetry_equiv_pos_as_xyz
'x,y,z'
loop_
_atom_site_label
_atom_site_type_symbol
_atom_site_fract_x
_atom_site_fract_y
_atom_site_fract_z
_atom_site_occupancy
Cd1 Cd 0.250 0.750 0.500 1
Ca1 Ca 0.750 0.250 0.500 1
Li1 Li 0.941 0.375 0.250 1
Ca2 Ca 0.500 0.500 0.000 1
Li2 Li 0.625 0.691 0.750 1
Li3 Li 0.309 0.875 0.250 1
Cd2 Cd 0.000 0.000 0.000 1
Li4 Li 0.125 0.059 0.750 1
```

Summary:
electronic total energy	-14.653	eV/cell
space-group type	No. 122
calculated formation energy	-16	meV per atom

The following is a DFT calculation (PBEsol) of a relaxed structure of KAg2P.

Structure (CIF):
```
data_KAg2P
_chemical_formula_sum 'K1 Ag2 P1'
_cell_length_a 2.868
_cell_length_b 3.895
_cell_length_c 7.647
_cell_angle_alpha 90.00
_cell_angle_beta 90.00
_cell_angle_gamma 90.00
_symmetry_space_group_name_H-M 'P 1'
_symmetry_Int_Tables_number 1
loop_
_symmetry_equiv_pos_as_xyz
'x,y,z'
loop_
_atom_site_label
_atom_site_type_symbol
_atom_site_fract_x
_atom_site_fract_y
_atom_site_fract_z
_atom_site_occupancy
P1 P 0.500 0.500 0.500 1
Ag1 Ag 0.000 0.000 0.680 1
K1 K 0.500 0.500 0.000 1
Ag2 Ag 0.000 0.000 0.320 1
```

Summary:
electronic total energy	-12.329	eV/cell
space-group type	No. 47
calculated formation energy	304	meV per atom

The following is a DFT calculation (PBEsol) of a relaxed structure of Tl2ZnPt.

Structure (CIF):
```
data_Tl2ZnPt
_chemical_formula_sum 'Tl2 Zn1 Pt1'
_cell_length_a 3.205
_cell_length_b 3.205
_cell_length_c 9.469
_cell_angle_alpha 80.26
_cell_angle_beta 80.26
_cell_angle_gamma 60.00
_symmetry_space_group_name_H-M 'P 1'
_symmetry_Int_Tables_number 1
loop_
_symmetry_equiv_pos_as_xyz
'x,y,z'
loop_
_atom_site_label
_atom_site_type_symbol
_atom_site_fract_x
_atom_site_fract_y
_atom_site_fract_z
_atom_site_occupancy
Pt1 Pt 0.241 0.241 0.277 1
Zn1 Zn 0.512 0.512 0.464 1
Tl1 Tl 0.759 0.759 0.722 1
Tl2 Tl 0.988 0.988 0.036 1
```

Summary:
electronic total energy	-13.545	eV/cell
space-group type	No. 160
calculated formation energy	65	meV per atom

The following is a DFT calculation (PBEsol) of a relaxed structure of Cd2CoBr.

Structure (CIF):
```
data_Cd2CoBr
_chemical_formula_sum 'Cd2 Co1 Br1'
_cell_length_a 3.154
_cell_length_b 4.042
_cell_length_c 6.640
_cell_angle_alpha 107.72
_cell_angle_beta 90.00
_cell_angle_gamma 90.00
_symmetry_space_group_name_H-M 'P 1'
_symmetry_Int_Tables_number 1
loop_
_symmetry_equiv_pos_as_xyz
'x,y,z'
loop_
_atom_site_label
_atom_site_type_symbol
_atom_site_fract_x
_atom_site_fract_y
_atom_site_fract_z
_atom_site_occupancy
Cd1 Cd 0.500 0.274 0.548 1
Cd2 Cd 0.000 0.919 0.839 1
Co1 Co 0.000 0.717 0.435 1
Br1 Br 0.500 0.574 0.148 1
```

Summary:
electronic total energy	-11.316	eV/cell
formation energy from raw total energies	171	meV per atom
space-group type	No. 38

The following is a DFT calculation (PBEsol) of a relaxed structure of CaTcP2.

Structure (CIF):
```
data_CaTcP2
_chemical_formula_sum 'Ca1 Tc1 P2'
_cell_length_a 3.751
_cell_length_b 3.751
_cell_length_c 5.284
_cell_angle_alpha 110.79
_cell_angle_beta 110.79
_cell_angle_gamma 90.00
_symmetry_space_group_name_H-M 'P 1'
_symmetry_Int_Tables_number 1
loop_
_symmetry_equiv_pos_as_xyz
'x,y,z'
loop_
_atom_site_label
_atom_site_type_symbol
_atom_site_fract_x
_atom_site_fract_y
_atom_site_fract_z
_atom_site_occupancy
P1 P 0.000 0.000 0.000 1
P2 P 0.750 0.250 0.500 1
Tc1 Tc 0.500 0.500 0.000 1
Ca1 Ca 0.250 0.750 0.500 1
```

Summary:
electronic total energy	-24.686	eV/cell
space-group type	No. 119
calculated formation energy	74	meV per atom

The following is a DFT calculation (PBEsol) of a relaxed structure of ReP5.

Structure (CIF):
```
data_ReP5
_chemical_formula_sum 'Re1 P5'
_cell_length_a 4.521
_cell_length_b 4.521
_cell_length_c 4.718
_cell_angle_alpha 90.00
_cell_angle_beta 90.00
_cell_angle_gamma 120.00
_symmetry_space_group_name_H-M 'P 1'
_symmetry_Int_Tables_number 1
loop_
_symmetry_equiv_pos_as_xyz
'x,y,z'
loop_
_atom_site_label
_atom_site_type_symbol
_atom_site_fract_x
_atom_site_fract_y
_atom_site_fract_z
_atom_site_occupancy
P1 P 0.000 0.709 0.000 1
P2 P 0.333 0.667 0.500 1
P3 P 0.709 0.000 0.000 1
Re1 Re 0.000 0.000 0.500 1
P4 P 0.667 0.333 0.500 1
P5 P 0.291 0.291 0.000 1
```

Summary:
electronic total energy	-39.598	eV/cell
space-group type	No. 189
calculated formation energy	449	meV per atom

The following is a DFT calculation (PBEsol) of a relaxed structure of Nb2CdTeS.

Structure (CIF):
```
data_Nb2CdTeS
_chemical_formula_sum 'Nb2 Cd1 Te1 S1'
_cell_length_a 5.063
_cell_length_b 5.063
_cell_length_c 5.212
_cell_angle_alpha 90.00
_cell_angle_beta 90.00
_cell_angle_gamma 90.00
_symmetry_space_group_name_H-M 'P 1'
_symmetry_Int_Tables_number 1
loop_
_symmetry_equiv_pos_as_xyz
'x,y,z'
loop_
_atom_site_label
_atom_site_type_symbol
_atom_site_fract_x
_atom_site_fract_y
_atom_site_fract_z
_atom_site_occupancy
Nb1 Nb 0.000 0.500 0.000 1
S1 S 0.500 0.500 0.500 1
Te1 Te 0.000 0.000 0.000 1
Cd1 Cd 0.000 0.000 0.500 1
Nb2 Nb 0.500 0.000 0.000 1
```

Summary:
electronic total energy	-23.240	eV/cell
formation energy from raw total energies	1502	meV per atom
space-group type	No. 123

The following is a DFT calculation (PBEsol) of a relaxed structure of Zr2ZnIn.

Structure (CIF):
```
data_Zr2ZnIn
_chemical_formula_sum 'Zr2 Zn1 In1'
_cell_length_a 3.226
_cell_length_b 4.977
_cell_length_c 5.744
_cell_angle_alpha 115.67
_cell_angle_beta 106.31
_cell_angle_gamma 90.00
_symmetry_space_group_name_H-M 'P 1'
_symmetry_Int_Tables_number 1
loop_
_symmetry_equiv_pos_as_xyz
'x,y,z'
loop_
_atom_site_label
_atom_site_type_symbol
_atom_site_fract_x
_atom_site_fract_y
_atom_site_fract_z
_atom_site_occupancy
In1 In 0.478 0.978 0.956 1
Zr1 Zr 0.015 0.515 0.030 1
Zr2 Zr 0.251 0.251 0.503 1
Zn1 Zn 0.756 0.756 0.511 1
```

Summary:
electronic total energy	-23.782	eV/cell
space-group type	No. 44
calculated formation energy	-259	meV per atom

no.,total magnetic moment (μB per formula unit)
1,0.00
2,1.01
3,14.08
4,0.00
5,0.00
6,0.00
7,1.02
8,1.27
9,0.00
10,0.00
11,0.00